DFT (PBE-GGA) results for an optimized crystal structure of Pm6Ni2GeI3. Values from VASP.

DOS(E_F) = 0.934 states/eV/atom
total moment = 0.0 μB per formula unit
energy relative to the elements, uncorrected = -0.737 eV/atom
energy = -4.848 eV per atom

Structure (Quantum ESPRESSO input):
```
&SYSTEM
  ibrav = 0, nat = 12, ntyp = 4
/
ATOMIC_SPECIES
I 126.90 I.upf
Pm 145.00 Pm.upf
Ni 58.69 Ni.upf
Ge 72.64 Ge.upf
CELL_PARAMETERS angstrom
-0.952 3.609 6.244
4.589 -5.638 -0.277
4.642 5.540 -3.912
ATOMIC_POSITIONS crystal
I 0.500 0.500 0.500
I 0.161 0.839 0.500
Pm 0.286 0.286 0.811
I 0.839 0.161 0.500
Pm 0.586 0.935 0.810
Pm 0.065 0.414 0.190
Ni 0.332 0.668 0.000
Ni 0.668 0.332 0.000
Pm 0.414 0.065 0.190
Ge 0.000 0.000 0.000
Pm 0.935 0.586 0.810
Pm 0.714 0.714 0.189
```

---

DFT (PBE-GGA) results for an optimized crystal structure of Pm4NiGeI2. Values from VASP.

DOS(E_F) = 0.666 states/eV/atom
total moment = 0.0 μB per formula unit
energy relative to the elements, uncorrected = -0.800 eV/atom
energy = -4.863 eV per atom

Structure (Quantum ESPRESSO input):
```
&SYSTEM
  ibrav = 0, nat = 8, ntyp = 4
/
ATOMIC_SPECIES
I 126.90 I.upf
Pm 145.00 Pm.upf
Ge 72.64 Ge.upf
Ni 58.69 Ni.upf
CELL_PARAMETERS angstrom
4.133 0.000 0.000
0.000 7.597 0.238
0.000 -2.563 7.651
ATOMIC_POSITIONS crystal
I 0.000 0.500 0.500
Pm 0.500 0.210 0.183
I 0.500 0.000 0.500
Ge 0.500 0.500 0.000
Pm 0.500 0.790 0.817
Ni 0.000 0.000 0.000
Pm 0.000 0.260 0.801
Pm 0.000 0.740 0.199
```

---

DFT (PBE-GGA) results for an optimized crystal structure of Pr4NiGeI2. Values from VASP.

DOS(E_F) = 0.721 states/eV/atom
total moment = 0.0 μB per formula unit
energy relative to the elements, uncorrected = -0.801 eV/atom
energy = -4.878 eV per atom

Structure (Quantum ESPRESSO input):
```
&SYSTEM
  ibrav = 0, nat = 8, ntyp = 4
/
ATOMIC_SPECIES
Pr 140.91 Pr.upf
Ge 72.64 Ge.upf
I 126.90 I.upf
Ni 58.69 Ni.upf
CELL_PARAMETERS angstrom
-1.920 -3.014 -2.175
6.434 -4.253 0.214
-4.361 -2.006 6.629
ATOMIC_POSITIONS crystal
Pr 0.500 0.211 0.185
Ge 0.500 0.500 0.000
I 0.500 0.000 0.500
Pr 0.000 0.262 0.798
I 0.000 0.500 0.500
Pr 0.000 0.738 0.202
Pr 0.500 0.789 0.815
Ni 0.000 0.000 0.000
```

---

DFT (PBE-GGA) results for an optimized crystal structure of Rb2NiGeI6. Values from VASP.

DOS(E_F) = 0.394 states/eV/atom
total moment = 1.8 μB per formula unit
energy relative to the elements, uncorrected = -0.651 eV/atom
energy = -2.815 eV per atom

Structure (Quantum ESPRESSO input):
```
&SYSTEM
  ibrav = 0, nat = 10, ntyp = 4
/
ATOMIC_SPECIES
I 126.90 I.upf
Ni 58.69 Ni.upf
Ge 72.64 Ge.upf
Rb 85.47 Rb.upf
CELL_PARAMETERS angstrom
8.132 0.000 0.000
0.000 8.132 0.000
4.066 4.066 5.730
ATOMIC_POSITIONS crystal
I 0.259 0.259 0.000
I 0.741 0.259 0.000
Ni 0.500 0.500 0.000
I 0.259 0.259 0.481
I 0.741 0.741 0.519
Ge 0.000 0.000 0.000
Rb 0.750 0.250 0.500
I 0.259 0.741 0.000
I 0.741 0.741 0.000
Rb 0.250 0.750 0.500
```

---

DFT (PBE-GGA) results for an optimized crystal structure of ReNi2GeI. Values from VASP.

DOS(E_F) = 1.697 states/eV/atom
total moment = 0.0 μB per formula unit
energy relative to the elements, uncorrected = 1.121 eV/atom
energy = -4.915 eV per atom

Structure (Quantum ESPRESSO input):
```
&SYSTEM
  ibrav = 0, nat = 5, ntyp = 4
/
ATOMIC_SPECIES
Ge 72.64 Ge.upf
Re 186.21 Re.upf
Ni 58.69 Ni.upf
I 126.90 I.upf
CELL_PARAMETERS angstrom
4.673 0.000 0.000
0.000 4.894 0.000
0.000 0.000 4.673
ATOMIC_POSITIONS crystal
Ge 0.000 0.500 0.000
Re 0.000 0.000 0.000
Ni 0.500 0.000 0.000
I 0.500 0.500 0.500
Ni 0.000 0.000 0.500
```

---

DFT (PBE-GGA) results for an optimized crystal structure of NiGeSbI2. Values from VASP.

DOS(E_F) = 0.652 states/eV/atom
total moment = 0.0 μB per formula unit
polymorph energy (0 for the lowest one) = 0.000 eV/atom
energy relative to the elements, uncorrected = 0.440 eV/atom
energy = -3.085 eV per atom

Structure (Quantum ESPRESSO input):
```
&SYSTEM
  ibrav = 0, nat = 5, ntyp = 4
/
ATOMIC_SPECIES
Ge 72.64 Ge.upf
I 126.90 I.upf
Ni 58.69 Ni.upf
Sb 121.76 Sb.upf
CELL_PARAMETERS angstrom
-2.611 3.449 -2.856
2.626 -1.498 -4.210
-3.507 -3.450 -0.961
ATOMIC_POSITIONS crystal
Ge 0.500 0.500 0.500
I 0.000 0.500 0.000
Ni 0.000 0.000 0.000
Sb 0.000 0.000 0.500
I 0.500 0.000 0.000
```

---

DFT (PBE-GGA) results for an optimized crystal structure of ScNiGe2I. Values from VASP.

DOS(E_F) = 0.294 states/eV/atom
total moment = 0.0 μB per formula unit
energy relative to the elements, uncorrected = 0.722 eV/atom
energy = -3.857 eV per atom

Structure (Quantum ESPRESSO input):
```
&SYSTEM
  ibrav = 0, nat = 5, ntyp = 4
/
ATOMIC_SPECIES
I 126.90 I.upf
Ge 72.64 Ge.upf
Sc 44.96 Sc.upf
Ni 58.69 Ni.upf
CELL_PARAMETERS angstrom
5.386 0.000 0.000
0.000 4.620 0.000
0.000 0.000 5.386
ATOMIC_POSITIONS crystal
I 0.500 0.500 0.500
Ge 0.000 0.000 0.500
Sc 0.000 0.000 0.000
Ni 0.000 0.500 0.000
Ge 0.500 0.000 0.000
```

---

DFT (PBE-GGA) results for an optimized crystal structure of Sm8NiGe3I4. Values from VASP.

DOS(E_F) = 0.711 states/eV/atom
total moment = 0.0 μB per formula unit
energy relative to the elements, uncorrected = -0.894 eV/atom
energy = -4.868 eV per atom

Structure (Quantum ESPRESSO input):
```
&SYSTEM
  ibrav = 0, nat = 16, ntyp = 4
/
ATOMIC_SPECIES
Sm 150.36 Sm.upf
I 126.90 I.upf
Ni 58.69 Ni.upf
Ge 72.64 Ge.upf
CELL_PARAMETERS angstrom
-7.504 4.049 0.979
-3.552 -4.966 -6.690
3.569 -4.090 6.648
ATOMIC_POSITIONS crystal
Sm 0.734 0.701 0.467
I 0.000 0.000 0.000
I 0.000 0.000 0.500
Sm 0.777 0.307 0.554
I 0.500 0.000 0.000
Sm 0.777 0.307 0.030
Sm 0.253 0.307 0.030
Sm 0.266 0.299 0.533
Ni 0.000 0.500 0.000
Sm 0.223 0.693 0.970
Ge 0.000 0.500 0.500
Ge 0.500 0.500 0.500
Sm 0.747 0.693 0.970
I 0.500 0.000 0.500
Sm 0.223 0.693 0.446
Ge 0.500 0.500 0.000
```